# Li2LaTa PBE relaxed
data_Li2LaTa
_space_group_name_H-M_alt 'P 1'
_space_group_IT_number 1
_cell_length_a 11.176
_cell_length_b 11.176
_cell_length_c 11.176
_cell_angle_alpha 15.45
_cell_angle_beta 15.45
_cell_angle_gamma 15.45
loop_
_space_group_symop_operation_xyz
'x,y,z'
loop_
_atom_site_label
_atom_site_type_symbol
_atom_site_fract_x
_atom_site_fract_y
_atom_site_fract_z
Li1 Li 0.241 0.241 0.241
Li2 Li 0.759 0.759 0.759
La1 La 0.000 0.000 0.000
Ta1 Ta 0.500 0.500 0.500
# - Energy relative to the elements: 0.480 eV per atom
# - Volume: 21.6 Å³ per atom
# - Space-group type: R-3m, No. 166
# - Energy relative to the lowest polymorph listed for this composition: 137.8 meV/atom